1.
The following is a PBE calculation of a relaxed structure of In2Cu2Ni15, from Alexandria via LeMat-Bulk.

Structure (POSCAR):
```
In2Cu2Ni15
1.0
6.224 0.028 0.025
0.835 6.168 0.025
0.835 0.733 6.124
Ni Cu In
15 2 2
direct
0.347 0.347 0.843 Ni
0.000 0.303 0.697 Ni
0.697 0.000 0.303 Ni
0.157 0.653 0.653 Ni
0.000 0.500 0.000 Ni
0.347 0.843 0.347 Ni
0.653 0.157 0.653 Ni
0.843 0.347 0.347 Ni
0.653 0.653 0.157 Ni
0.000 0.000 0.500 Ni
0.500 0.000 0.000 Ni
0.303 0.697 0.000 Ni
0.697 0.303 0.000 Ni
0.303 0.000 0.697 Ni
0.000 0.697 0.303 Ni
0.901 0.901 0.901 Cu
0.099 0.099 0.099 Cu
0.656 0.656 0.656 In
0.344 0.344 0.344 In
```

Computed properties:
DOS at the Fermi energy: 26.4 states/eV/cell
DFT total energy: -5.229 eV/atom
DFT formation energy: 0.0542 eV per atom

=====

2.
The following is a PBE calculation of a relaxed structure of InCu2Ni2, from Alexandria via LeMat-Bulk.

Structure (POSCAR):
```
InCu2Ni2
1.0
-0.718 2.836 3.859
1.161 -3.145 2.527
2.871 2.698 -1.449
Cu In Ni
2 1 2
direct
0.363 0.667 0.333 Cu
0.637 0.333 0.667 Cu
0.000 0.000 0.000 In
0.147 0.333 0.667 Ni
0.853 0.667 0.333 Ni
```

Computed properties:
DOS at the Fermi energy: 3.0 states/eV/cell
DFT total energy: -4.348 eV/atom
Relative energy among the computed polymorphs: 63 meV per atom
DFT formation energy: 0.1510 eV per atom

=====

3.
The following is a PBE calculation of a relaxed structure of InCu2Ni8, from Alexandria via LeMat-Bulk.

Structure (POSCAR):
```
InCu2Ni8
1.0
-0.892 3.515 1.362
-5.977 -1.665 0.382
4.282 -2.755 4.405
Cu Ni In
2 8 1
direct
0.191 0.691 0.381 Cu
0.809 0.309 0.619 Cu
0.842 0.842 0.684 Ni
0.338 0.554 0.676 Ni
0.338 0.123 0.676 Ni
0.662 0.446 0.324 Ni
0.158 0.158 0.316 Ni
0.000 0.699 0.000 Ni
0.662 0.877 0.324 Ni
0.000 0.301 0.000 Ni
0.500 0.000 0.000 In
```

Computed properties:
DOS at the Fermi energy: 16.2 states/eV/cell
DFT total energy: -5.036 eV/atom
DFT formation energy: 0.1627 eV per atom

=====

4.
The following is a PBE calculation of a relaxed structure of InCu2Ni, from Alexandria via LeMat-Bulk.

Structure (POSCAR):
```
InCu2Ni
1.0
3.756 0.000 0.000
0.000 3.755 0.000
0.000 0.000 3.930
Cu In Ni
2 1 1
direct
0.500 0.500 0.000 Cu
0.000 0.000 0.000 Cu
0.500 0.000 0.500 In
0.000 0.500 0.500 Ni
```

Computed properties:
DOS at the Fermi energy: 1.7 states/eV/cell
DFT total energy: -4.192 eV/atom
DFT formation energy: -0.0141 eV per atom

=====

5.
The following is a PBE calculation of a relaxed structure of InCu2Ni2, from Alexandria via LeMat-Bulk.

Structure (POSCAR):
```
InCu2Ni2
1.0
3.502 0.000 0.000
0.000 3.502 0.000
1.751 1.751 5.770
Ni In Cu
2 1 2
direct
0.603 0.603 0.795 Ni
0.397 0.397 0.205 Ni
0.000 0.000 0.000 In
0.750 0.250 0.500 Cu
0.250 0.750 0.500 Cu
```

Computed properties:
DOS at the Fermi energy: 2.1 states/eV/cell
DFT total energy: -4.354 eV/atom
Relative energy among the computed polymorphs: 58 meV per atom
DFT formation energy: 0.1450 eV per atom

=====

6.
The following is a PBE calculation of a relaxed structure of InCuNi2, from Alexandria via LeMat-Bulk.

Structure (POSCAR):
```
InCuNi2
1.0
8.164 0.010 0.006
7.661 2.821 0.006
7.661 1.371 2.466
Ni Cu In
2 1 1
direct
0.505 0.505 0.505 Ni
0.995 0.995 0.995 Ni
0.250 0.250 0.250 Cu
0.750 0.750 0.750 In
```

Computed properties:
DOS at the Fermi energy: 2.8 states/eV/cell
DFT total energy: -4.354 eV/atom
DFT formation energy: 0.2458 eV per atom

=====

> Among the records above, which one has the lowest DOS at the Fermi energy?

InCu2Ni